Entry from Alexandria: a geometry-optimized NaTb2SeO5 structure (GGA-PBE).

Cell lengths 6.5843, 6.5843, 7.6125 Å; angles 115.62, 115.62, 90.00 degrees
Last column: nearest neighbours and their distance in Å.
Atoms (fractional coordinates):
Na 0.2500 0.2500 0.5000  10 O 3.01, 4 Se 3.29
Na 0.7500 0.7500 0.5000  10 O 3.01, 4 Se 3.29
Tb 0.1750 0.3250 0.0000  8 O 2.25-2.51
Tb 0.6750 0.1750 0.0000  8 O 2.25-2.51
Tb 0.3250 0.8250 0.0000  8 O 2.25-2.51
Tb 0.8250 0.6750 0.0000  8 O 2.25-2.51
Se 0.2500 0.7500 0.5000  4 O 2.05
Se 0.7500 0.2500 0.5000  4 O 2.05
O 0.9801 0.4801 0.2346  1 Se 2.05, 1 Tb 2.25
O 0.7455 0.2455 0.7654  1 Se 2.05, 1 Tb 2.25
O 0.0199 0.5199 0.7654  1 Se 2.05, 1 Tb 2.25
O 0.2455 0.0199 0.7654  1 Se 2.05, 1 Tb 2.25
O 0.5199 0.7455 0.7654  1 Se 2.05, 1 Tb 2.25
O 0.7545 0.9801 0.2346  1 Se 2.05, 1 Tb 2.25
O 0.4801 0.2545 0.2346  1 Se 2.05, 1 Tb 2.25
O 0.2545 0.7545 0.2346  1 Se 2.05, 1 Tb 2.25
O 0.5000 0.5000 0.0000  4 Tb 2.43
O 0.0000 0.0000 0.0000  4 Tb 2.43

Results
As for the calculated volume: 261 Å³ per cell. As for the total energy: -6.397 eV/atom. The calculation puts the uncorrected formation energy at -47.96 kcal/mol of atoms.

Entry from Alexandria: a geometry-optimized Si2PdRh2 structure (GGA-PBE).

Cell lengths 7.1025, 7.1025, 2.7550 Å; angles 90.00, 90.00, 90.00 degrees
Last column: nearest neighbours and their distance in Å.
Atoms (fractional coordinates):
Si 0.1572 0.6572 0.5000  6 Rh 2.46-2.52
Si 0.6572 0.8428 0.5000  6 Rh 2.46-2.52
Si 0.8428 0.3428 0.5000  6 Rh 2.46-2.52
Si 0.3428 0.1572 0.5000  6 Rh 2.46-2.52
Rh 0.3600 0.8600 0.0000  6 Si 2.46-2.52, 2 Pd 2.74
Rh 0.8600 0.6400 0.0000  6 Si 2.46-2.52, 2 Pd 2.74
Rh 0.6400 0.1400 0.0000  6 Si 2.46-2.52, 2 Pd 2.74
Rh 0.1400 0.3600 0.0000  6 Si 2.46-2.52, 2 Pd 2.74
Pd 0.0000 0.0000 0.0000  4 Rh 2.74, 2 Pd 2.76, 8 Si 3.01
Pd 0.5000 0.5000 0.0000  4 Rh 2.74, 2 Pd 2.76, 8 Si 3.01

Results
As for the calculated volume: 139 Å³ per cell. As for the total energy: -6.752 eV/atom. The calculation puts the energy above the most stable polymorph in this dataset at 0.124 eV/atom. The calculation puts the uncorrected formation energy at -13.93 kcal/mol of atoms.

Entry from Alexandria: a geometry-optimized LaTl structure (GGA-PBE).

Cell lengths 3.8374, 3.8374, 8.9419 Å; angles 90.00, 90.00, 90.05 degrees
Last column: nearest neighbours and their distance in Å.
Atoms (fractional coordinates):
La 0.0000 0.0000 0.0249  4 Tl 3.47, 8 La 3.81-3.84
La 0.5000 0.5000 0.7251  4 Tl 3.47, 8 La 3.81-3.84
Tl 0.0000 0.0000 0.4830  4 Tl 3.33, 4 La 3.47
Tl 0.5000 0.5000 0.2670  4 Tl 3.33, 4 La 3.47

Results
As for the calculated volume: 132 Å³ per cell. As for the total energy: -3.790 eV/atom. The value obtained for the formation energy from the elements is -0.1429 eV/atom.